# PmMg2Tl

A relaxed structure of PmMg2Tl (PBE, the Alexandria database).

a = 3.813 Å, b = 3.813 Å, c = 7.334 Å
α = 90.00°, β = 90.00°, γ = 90.00°
Site moments in Bohr magnetons follow the coordinates.
Sites, in units of the cell vectors:
Tl 0.500 0.500 0.000  0.00
Mg 0.000 0.000 0.775  0.00
Mg 0.000 0.000 0.225  0.00
Pm 0.500 0.500 0.500  0.14

Calculated values
Calculated density in g/cm³: 6.20
DOS at the Fermi energy in states/eV/atom: 0.7268
Calculated total energy in eV per atom: -2.668
Calculated formation energy in eV/atom: -0.0911



# Pa4Ge

A relaxed structure of Pa4Ge (PBE, the Alexandria database).

a = 5.322 Å, b = 5.322 Å, c = 5.322 Å
α = 90.00°, β = 90.00°, γ = 90.00°
Site moments in Bohr magnetons follow the coordinates.
Sites, in units of the cell vectors:
Ge 0.500 0.500 0.500  0.02
Pa 0.000 0.000 0.000  0.78
Pa 0.500 0.000 0.500  0.13
Pa 0.000 0.500 0.500  0.13
Pa 0.500 0.500 0.000  0.13

Calculated values
Calculated density in g/cm³: 10.98
DOS at the Fermi energy in states/eV/atom: 2.4581
Calculated total energy in eV per atom: -7.789
Calculated formation energy in eV/atom: 0.7313



# Ac2AgP

A relaxed structure of Ac2AgP (PBE, the Alexandria database).

a = 4.320 Å, b = 4.320 Å, c = 8.452 Å
α = 75.19°, β = 75.19°, γ = 60.00°
Sites, in units of the cell vectors:
Ac 0.074 0.074 0.777
Ac 0.260 0.260 0.221
Ag 0.500 0.500 0.501
P 0.666 0.666 0.001

Calculated values
Calculated density in g/cm³: 7.54
DOS at the Fermi energy in states/eV/atom: 0.5735
Calculated total energy in eV per atom: -4.882
Calculated formation energy in eV/atom: -0.7628



# KCuPb2Cl8

A relaxed structure of KCuPb2Cl8 (PBE, the Alexandria database).

a = 6.777 Å, b = 6.520 Å, c = 8.620 Å
α = 90.00°, β = 90.00°, γ = 82.71°
Site moments in Bohr magnetons follow the coordinates.
Sites, in units of the cell vectors:
K 0.000 0.000 0.500  0.00
Cu 0.000 0.000 0.000  0.12
Pb 0.500 0.500 0.766  -0.01
Pb 0.500 0.500 0.234  -0.01
Cl 0.153 0.796 0.189  0.02
Cl 0.661 0.723 0.000  -0.01
Cl 0.847 0.204 0.189  0.02
Cl 0.847 0.204 0.811  0.02
Cl 0.339 0.277 0.000  -0.01
Cl 0.153 0.796 0.811  0.02
Cl 0.666 0.691 0.500  -0.01
Cl 0.334 0.309 0.500  -0.01

Calculated values
Uncorrected formation energy in meV/atom: -979
Calculated density in g/cm³: 3.52
DOS at the Fermi energy in states/eV/atom: 0.5072
Calculated total energy in eV per atom: -3.261



# Be2SiTe2

A relaxed structure of Be2SiTe2 (PBE, the Alexandria database).

a = 3.740 Å, b = 3.740 Å, c = 7.693 Å
α = 75.93°, β = 75.93°, γ = 90.00°
Sites, in units of the cell vectors:
Be 0.750 0.250 0.500
Be 0.250 0.750 0.500
Si 0.000 0.000 0.000
Te 0.364 0.364 0.271
Te 0.636 0.636 0.729

Calculated values
Uncorrected formation energy in meV/atom: 408
Calculated density in g/cm³: 4.95
DOS at the Fermi energy in states/eV/atom: 0.4942
Calculated total energy in eV per atom: -3.423



# LaInFe2

A relaxed structure of LaInFe2 (PBE, the Alexandria database).

a = 3.723 Å, b = 4.266 Å, c = 5.482 Å
α = 67.11°, β = 90.00°, γ = 90.00°
Site moments in Bohr magnetons follow the coordinates.
Sites, in units of the cell vectors:
Fe 0.000 0.188 0.000  1.88
Fe 0.500 0.056 0.264  2.08
In 0.000 0.484 0.407  -0.06
La 0.500 0.773 0.829  -0.11

Calculated values
Calculated density in g/cm³: 7.56
DOS at the Fermi energy in states/eV/atom: 0.6114
Calculated total energy in eV per atom: -6.084
Calculated formation energy in eV/atom: 0.0641



# Ho2ScCdHg4

A relaxed structure of Ho2ScCdHg4 (PBE, the Alexandria database).

a = 5.073 Å, b = 5.073 Å, c = 8.925 Å
α = 73.49°, β = 73.49°, γ = 60.00°
Sites, in units of the cell vectors:
Ho 0.744 0.744 0.767
Ho 0.256 0.256 0.233
Sc 0.500 0.500 0.500
Cd 0.000 0.000 0.000
Hg 0.379 0.379 0.862
Hg 0.868 0.868 0.396
Hg 0.132 0.132 0.604
Hg 0.621 0.621 0.138

Calculated values
Calculated density in g/cm³: 11.40
DOS at the Fermi energy in states/eV/atom: 0.4298
Calculated total energy in eV per atom: -2.626
Calculated formation energy in eV/atom: -0.4249



# MnTlRhS2

A relaxed structure of MnTlRhS2 (PBE, the Alexandria database).

a = 4.427 Å, b = 5.046 Å, c = 4.427 Å
α = 90.00°, β = 90.00°, γ = 90.00°
Site moments in Bohr magnetons follow the coordinates.
Sites, in units of the cell vectors:
Tl 0.500 0.500 0.500  0.00
Mn 0.000 0.000 0.000  2.66
Rh 0.000 0.500 0.000  0.45
S 0.000 0.000 0.500  0.01
S 0.500 0.000 0.000  0.04

Calculated values
Uncorrected formation energy in meV/atom: 292
Calculated density in g/cm³: 7.16
DOS at the Fermi energy in states/eV/atom: 1.1836
Calculated total energy in eV per atom: -5.136



Look up the DOS at the Fermi energy of the sixth one. 0.6114 states/eV/atom



Repeat the third record exactly.
# Ac2AgP

A relaxed structure of Ac2AgP (PBE, the Alexandria database).

a = 4.320 Å, b = 4.320 Å, c = 8.452 Å
α = 75.19°, β = 75.19°, γ = 60.00°
Sites, in units of the cell vectors:
Ac 0.074 0.074 0.777
Ac 0.260 0.260 0.221
Ag 0.500 0.500 0.501
P 0.666 0.666 0.001

Calculated values
Calculated density in g/cm³: 7.54
DOS at the Fermi energy in states/eV/atom: 0.5735
Calculated total energy in eV per atom: -4.882
Calculated formation energy in eV/atom: -0.7628